(1)
Computed, not measured: ThTlB after structural relaxation at the PBE level of DFT.

**Relative energy among the computed polymorphs**: 0.8725 eV per atom
**DFT total energy**: -4.252 eV/atom

Unit cell a=4.7844 b=4.7844 c=4.7844 alpha=60.00 beta=60.00 gamma=60.00
With the nearest neighbours (Å) after each atom.
Fractional positions:
Tl1 0.0000 0.0000 0.0000  4 Th 2.93, 4 B 2.93
Th1 0.7500 0.7500 0.7500  4 Tl 2.93
B1 0.2500 0.2500 0.2500  4 Tl 2.93

(2)
Computed, not measured: CuBiIrOs after structural relaxation at the PBE level of DFT.

**Relative energy among the computed polymorphs**: 0.0000 eV per atom
**DFT total energy**: -6.281 eV/atom

Unit cell a=4.5518 b=4.5518 c=4.5518 alpha=60.00 beta=60.00 gamma=60.00
With the nearest neighbours (Å) after each atom.
Fractional positions:
Bi1 0.0000 0.0000 0.0000  4 Os 2.79, 4 Cu 2.79
Os1 0.7500 0.7500 0.7500  4 Ir 2.79, 4 Bi 2.79
Cu1 0.2500 0.2500 0.2500  4 Bi 2.79, 4 Ir 2.79
Ir1 0.5000 0.5000 0.5000  4 Os 2.79, 4 Cu 2.79